Computed, not measured: a relaxed structure of ThMg4In2 at the PBE level of DFT.

The calculated volume is 24.6 A^3/atom. Its density of states at the Fermi level is 3.3 states/eV/f.u. As for the total energy: -2.89 eV per atom. Its crystal system is trigonal. As for the formation energy: -139 meV/atom.

The structure belongs to space group R-3m (No. 166, hexagonal axes); the cell edges are 4.9004, 4.9004 and 24.8681 Å and the angles 90.00°, 90.00° and 120.00°. The asymmetric unit holds Th at (0.0000, 0.0000, 0.0000), Mg at (0.0000, 0.0000, 0.1401), Mg at (0.0000, 0.0000, 0.4282) and In at (0.0000, 0.0000, 0.2630).